Below is a relaxed structure of NiC3S, with properties calculated at the PBE level.

Summary:
- Raw formation energy: 2.553 eV/atom
- Crystal system: cubic

abc: 3.7949 3.7949 3.7949
angles: 90.00 90.00 90.00
Last column: nearest neighbours and their distance in Å.
Space group Pm-3m (No. 221)
Asymmetric unit:
Ni 0.0000 0.0000 0.0000 x1  6 C 1.90
C 0.0000 0.0000 0.5000 x3  2 Ni 1.90
S 0.5000 0.5000 0.5000 x1  12 C 2.68

***

Below is a relaxed structure of CuSeS, with properties calculated at the PBE level.

Summary:
- Raw formation energy: -0.005 eV/atom
- Crystal system: monoclinic

abc: 13.5699 3.5485 5.0977
angles: 90.00 100.54 90.00
Last column: nearest neighbours and their distance in Å.
Space group C2/m (No. 12)
Asymmetric unit:
Cu 0.1646 0.0000 0.2029 x4  2 S 2.38, 4 Se 2.46-2.64
Se 0.2077 0.0000 0.7292 x4  4 Cu 2.46-2.64
S 0.0467 0.5000 0.1775 x4  1 S 2.01

***

Below is a relaxed structure of CeGe2Rh5Au, with properties calculated at the PBE level.

Summary:
- ΔE_f: -0.3509 eV/atom
- Crystal system: tetragonal

abc: 4.1149 4.1149 9.0537
angles: 90.00 90.00 90.00
Last column: nearest neighbours and their distance in Å.
Space group P4/mmm (No. 123)
Asymmetric unit:
Ce 0.0000 0.0000 0.0000 x1  12 Rh 2.89-2.91
Ge 0.5000 0.5000 0.3674 x2  1 Ge 2.40, 4 Rh 2.43
Rh 0.0000 0.5000 0.2243 x4  2 Ge 2.43
Rh 0.5000 0.5000 0.0000 x1  8 Rh 2.89, 4 Ce 2.91
Au 0.0000 0.0000 0.5000 x1  8 Ge 3.15, 8 Rh 3.23

***

Below is a relaxed structure of AgPt2, with properties calculated at the PBE level.

Summary:
- ΔE_f: 0.9471 eV/atom
- Crystal system: cubic

abc: 6.2412 6.2412 6.2412
angles: 90.00 90.00 90.00
Last column: nearest neighbours and their distance in Å.
Space group Pa-3 (No. 205)
Asymmetric unit:
Ag 0.0000 0.0000 0.0000 x4  6 Pt 2.60
Pt 0.1172 0.6172 0.8828 x8  1 Pt 2.53, 3 Ag 2.60

***

| no. | volume (Å³/f.u.) | E_tot (eV/atom) |
| --- | --- | --- |
| 1 | 54.7 | -4.963 |
| 2 | 60.3 | -3.907 |
| 3 | 153.3 | -6.485 |
| 4 | 60.8 | -4.031 |